Record 1
Here is crystalline LaSc2IO8 at its relaxed geometry from Alexandria. Energies are from GGA-PBE.

Results
VASP energy (eV per cell): -85.8
Formation energy from raw total energies (eV per formula unit): -27.02
Spin magnetization (μB/f.u.): 0.00

Unit cell a=4.880 b=4.880 c=6.842 alpha=90.00 beta=89.99 gamma=88.21
Fractional coordinates of all 12 atoms:
O 0.272 0.271 0.000
O 0.806 0.194 0.798
Sc 0.500 0.500 0.742
I 0.000 0.000 0.000
O 0.674 0.674 0.500
O 0.728 0.729 0.000
O 0.326 0.326 0.500
Sc 0.500 0.500 0.258
O 0.194 0.806 0.798
La 0.000 0.000 0.500
O 0.806 0.194 0.202
O 0.194 0.806 0.202

Record 2
Here is crystalline SrScZn at its relaxed geometry from Alexandria. Energies are from GGA-PBE.

Results
VASP energy (eV per cell): -8.8
ΔE_f (eV/atom): 0.153
Spin magnetization (μB/f.u.): 0.00

Unit cell a=3.680 b=3.680 c=7.518 alpha=90.00 beta=90.00 gamma=120.00
Fractional coordinates of all 3 atoms:
Zn 0.667 0.333 0.693
Sr 0.333 0.667 0.363
Sc 0.000 0.000 0.943

Record 3
Here is crystalline Be2SeF at its relaxed geometry from Alexandria. Energies are from GGA-PBE.

Results
VASP energy (eV per cell): -13.8
Formation energy from raw total energies (eV per formula unit): -1.02
Spin magnetization (μB/f.u.): 0.00

Unit cell a=4.021 b=4.021 c=4.021 alpha=60.00 beta=60.00 gamma=60.00
Fractional coordinates of all 4 atoms:
Be 0.250 0.250 0.250
Se 0.500 0.500 0.500
F 0.000 0.000 0.000
Be 0.750 0.750 0.750

Record 4
Here is crystalline RbSe2Br2 at its relaxed geometry from Alexandria. Energies are from GGA-PBE.

Results
VASP energy (eV per cell): -13.8
Formation energy from raw total energies (eV per formula unit): -2.53
Spin magnetization (μB/f.u.): 0.00

Unit cell a=6.003 b=6.003 c=6.466 alpha=62.34 beta=62.34 gamma=90.00
Fractional coordinates of all 5 atoms:
Se 0.611 0.611 0.777
Rb 0.000 0.000 0.000
Br 0.250 0.750 0.500
Br 0.750 0.250 0.500
Se 0.389 0.389 0.223